# 1
# HfAgRh2O, optimized geometry, DFT PBE-GGA
data_HfAgRh2O
_chemical_formula_sum 'Hf1 Ag1 Rh2 O1'
_space_group_name_H-M_alt 'P 1'
_space_group_IT_number 1
_cell_length_a 4.243
_cell_length_b 4.243
_cell_length_c 4.289
_cell_angle_alpha 90.00
_cell_angle_beta 90.00
_cell_angle_gamma 90.00
loop_
_space_group_symop_operation_xyz
'x,y,z'
loop_
_atom_site_label
_atom_site_fract_x
_atom_site_fract_y
_atom_site_fract_z
_atom_site_occupancy
Hf1 0.000 0.000 0.000 1
Ag1 0.500 0.500 0.000 1
Rh1 0.000 0.500 0.500 1
Rh2 0.500 0.000 0.500 1
O1 0.500 0.500 0.500 1
# Formation energy from raw total energies ... -0.0067 eV per atom
# Final energy ... -6.500 eV/atom


# 2
# HfSc2AgO, optimized geometry, DFT PBE-GGA
data_HfSc2AgO
_chemical_formula_sum 'Hf1 Sc2 Ag1 O1'
_space_group_name_H-M_alt 'P 1'
_space_group_IT_number 1
_cell_length_a 4.403
_cell_length_b 4.403
_cell_length_c 4.413
_cell_angle_alpha 90.00
_cell_angle_beta 90.00
_cell_angle_gamma 90.00
loop_
_space_group_symop_operation_xyz
'x,y,z'
loop_
_atom_site_label
_atom_site_fract_x
_atom_site_fract_y
_atom_site_fract_z
_atom_site_occupancy
Hf1 0.000 0.000 0.000 1
Sc1 0.000 0.500 0.500 1
Sc2 0.500 0.000 0.500 1
Ag1 0.500 0.500 0.000 1
O1 0.000 0.000 0.500 1
# Formation energy from raw total energies ... -1.2107 eV per atom
# Final energy ... -7.296 eV/atom


# 3
# HfAgSeO5, optimized geometry, DFT PBE-GGA
data_HfAgSeO5
_chemical_formula_sum 'Hf2 Ag2 Se2 O10'
_space_group_name_H-M_alt 'P 1'
_space_group_IT_number 1
_cell_length_a 5.733
_cell_length_b 5.733
_cell_length_c 7.979
_cell_angle_alpha 108.26
_cell_angle_beta 108.26
_cell_angle_gamma 94.62
loop_
_space_group_symop_operation_xyz
'x,y,z'
loop_
_atom_site_label
_atom_site_fract_x
_atom_site_fract_y
_atom_site_fract_z
_atom_site_occupancy
Hf1 0.000 0.500 0.000 1
Hf2 0.500 0.000 0.500 1
Ag1 0.037 0.963 0.750 1
Ag2 0.963 0.037 0.250 1
Se1 0.428 0.572 0.750 1
Se2 0.572 0.428 0.250 1
O1 0.205 0.633 0.854 1
O2 0.230 0.770 0.250 1
O3 0.254 0.256 0.036 1
O4 0.256 0.254 0.536 1
O5 0.367 0.795 0.646 1
O6 0.633 0.205 0.354 1
O7 0.744 0.746 0.464 1
O8 0.746 0.744 0.964 1
O9 0.770 0.230 0.750 1
O10 0.795 0.367 0.146 1
# Formation energy from raw total energies ... -1.4954 eV per atom
# Final energy ... -6.630 eV/atom


# 4
# Sr2HfAg2O6, optimized geometry, DFT PBE-GGA
data_Sr2HfAg2O6
_chemical_formula_sum 'Sr2 Hf1 Ag2 O6'
_space_group_name_H-M_alt 'P 1'
_space_group_IT_number 1
_cell_length_a 6.546
_cell_length_b 6.546
_cell_length_c 6.546
_cell_angle_alpha 57.41
_cell_angle_beta 57.41
_cell_angle_gamma 57.41
loop_
_space_group_symop_operation_xyz
'x,y,z'
loop_
_atom_site_label
_atom_site_fract_x
_atom_site_fract_y
_atom_site_fract_z
_atom_site_occupancy
Sr1 0.206 0.206 0.206 1
Sr2 0.794 0.794 0.794 1
Hf1 0.000 0.000 0.000 1
Ag1 0.412 0.412 0.412 1
Ag2 0.588 0.588 0.588 1
O1 0.199 0.773 0.773 1
O2 0.227 0.227 0.801 1
O3 0.227 0.801 0.227 1
O4 0.773 0.199 0.773 1
O5 0.773 0.773 0.199 1
O6 0.801 0.227 0.227 1
# Formation energy from raw total energies ... -1.7755 eV per atom
# Final energy ... -6.209 eV/atom


# 5
# HfTcAgO6, optimized geometry, DFT PBE-GGA
data_HfTcAgO6
_chemical_formula_sum 'Hf1 Tc1 Ag1 O6'
_space_group_name_H-M_alt 'P 1'
_space_group_IT_number 1
_cell_length_a 5.312
_cell_length_b 5.312
_cell_length_c 4.894
_cell_angle_alpha 90.00
_cell_angle_beta 90.00
_cell_angle_gamma 120.00
loop_
_space_group_symop_operation_xyz
'x,y,z'
loop_
_atom_site_label
_atom_site_fract_x
_atom_site_fract_y
_atom_site_fract_z
_atom_site_occupancy
Hf1 0.000 0.000 0.000 1
Tc1 0.333 0.667 0.000 1
Ag1 0.667 0.333 0.500 1
O1 0.050 0.356 0.221 1
O2 0.050 0.694 0.779 1
O3 0.306 0.356 0.779 1
O4 0.306 0.950 0.221 1
O5 0.644 0.694 0.221 1
O6 0.644 0.950 0.779 1
# Formation energy from raw total energies ... -1.6958 eV per atom
# Final energy ... -7.576 eV/atom


# 6
# HfTc2AgO, optimized geometry, DFT PBE-GGA
data_HfTc2AgO
_chemical_formula_sum 'Hf1 Tc2 Ag1 O1'
_space_group_name_H-M_alt 'P 1'
_space_group_IT_number 1
_cell_length_a 5.126
_cell_length_b 5.126
_cell_length_c 3.944
_cell_angle_alpha 90.00
_cell_angle_beta 90.00
_cell_angle_gamma 90.00
loop_
_space_group_symop_operation_xyz
'x,y,z'
loop_
_atom_site_label
_atom_site_fract_x
_atom_site_fract_y
_atom_site_fract_z
_atom_site_occupancy
Hf1 0.000 0.000 0.000 1
Tc1 0.000 0.500 0.000 1
Tc2 0.500 0.000 0.000 1
Ag1 0.500 0.500 0.500 1
O1 0.000 0.000 0.500 1
# Formation energy from raw total energies ... 0.7827 eV per atom
# Final energy ... -6.916 eV/atom


# 7
# Hf2AgTeO8, optimized geometry, DFT PBE-GGA
data_Hf2AgTeO8
_chemical_formula_sum 'Hf2 Ag1 Te1 O8'
_space_group_name_H-M_alt 'P 1'
_space_group_IT_number 1
_cell_length_a 4.776
_cell_length_b 4.776
_cell_length_c 6.669
_cell_angle_alpha 90.06
_cell_angle_beta 90.06
_cell_angle_gamma 89.56
loop_
_space_group_symop_operation_xyz
'x,y,z'
loop_
_atom_site_label
_atom_site_fract_x
_atom_site_fract_y
_atom_site_fract_z
_atom_site_occupancy
Hf1 0.000 0.000 0.246 1
Hf2 0.000 0.000 0.754 1
Ag1 0.500 0.500 0.000 1
Te1 0.500 0.500 0.500 1
O1 0.183 0.817 0.000 1
O2 0.207 0.793 0.500 1
O3 0.302 0.302 0.291 1
O4 0.302 0.302 0.710 1
O5 0.698 0.698 0.290 1
O6 0.698 0.698 0.709 1
O7 0.793 0.207 0.500 1
O8 0.817 0.183 0.000 1
# Formation energy from raw total energies ... -2.0372 eV per atom
# Final energy ... -7.501 eV/atom


# 8
# HfAg2TeO6, optimized geometry, DFT PBE-GGA
data_HfAg2TeO6
_chemical_formula_sum 'Hf1 Ag2 Te1 O6'
_space_group_name_H-M_alt 'P 1'
_space_group_IT_number 1
_cell_length_a 5.663
_cell_length_b 5.663
_cell_length_c 5.663
_cell_angle_alpha 60.00
_cell_angle_beta 60.00
_cell_angle_gamma 60.00
loop_
_space_group_symop_operation_xyz
'x,y,z'
loop_
_atom_site_label
_atom_site_fract_x
_atom_site_fract_y
_atom_site_fract_z
_atom_site_occupancy
Hf1 0.000 0.000 0.000 1
Ag1 0.250 0.250 0.250 1
Ag2 0.750 0.750 0.750 1
Te1 0.500 0.500 0.500 1
O1 0.259 0.259 0.741 1
O2 0.259 0.741 0.259 1
O3 0.259 0.741 0.741 1
O4 0.741 0.259 0.259 1
O5 0.741 0.259 0.741 1
O6 0.741 0.741 0.259 1
# Formation energy from raw total energies ... -1.3948 eV per atom
# Final energy ... -6.249 eV/atom


# 9
# HfTiAg2O, optimized geometry, DFT PBE-GGA
data_HfTiAg2O
_chemical_formula_sum 'Hf1 Ti1 Ag2 O1'
_space_group_name_H-M_alt 'P 1'
_space_group_IT_number 1
_cell_length_a 5.229
_cell_length_b 5.229
_cell_length_c 3.601
_cell_angle_alpha 90.00
_cell_angle_beta 90.00
_cell_angle_gamma 90.00
loop_
_space_group_symop_operation_xyz
'x,y,z'
loop_
_atom_site_label
_atom_site_fract_x
_atom_site_fract_y
_atom_site_fract_z
_atom_site_occupancy
Hf1 0.000 0.000 0.000 1
Ti1 0.500 0.500 0.500 1
Ag1 0.000 0.500 0.500 1
Ag2 0.500 0.000 0.500 1
O1 0.500 0.500 0.000 1
# Formation energy from raw total energies ... -0.1961 eV per atom
# Final energy ... -5.898 eV/atom


# 10
# Hf2TiAgO, optimized geometry, DFT PBE-GGA
data_Hf2TiAgO
_chemical_formula_sum 'Hf2 Ti1 Ag1 O1'
_space_group_name_H-M_alt 'P 1'
_space_group_IT_number 1
_cell_length_a 4.446
_cell_length_b 4.446
_cell_length_c 4.108
_cell_angle_alpha 90.00
_cell_angle_beta 90.00
_cell_angle_gamma 90.00
loop_
_space_group_symop_operation_xyz
'x,y,z'
loop_
_atom_site_label
_atom_site_fract_x
_atom_site_fract_y
_atom_site_fract_z
_atom_site_occupancy
Hf1 0.000 0.500 0.000 1
Hf2 0.500 0.000 0.000 1
Ti1 0.000 0.000 0.500 1
Ag1 0.500 0.500 0.500 1
O1 0.000 0.000 0.000 1
# Formation energy from raw total energies ... -0.9868 eV per atom
# Final energy ... -8.109 eV/atom


# 11
# HfTlAgO2, optimized geometry, DFT PBE-GGA
data_HfTlAgO2
_chemical_formula_sum 'Hf1 Tl1 Ag1 O2'
_space_group_name_H-M_alt 'P 1'
_space_group_IT_number 1
_cell_length_a 4.197
_cell_length_b 4.197
_cell_length_c 5.207
_cell_angle_alpha 90.00
_cell_angle_beta 90.00
_cell_angle_gamma 90.00
loop_
_space_group_symop_operation_xyz
'x,y,z'
loop_
_atom_site_label
_atom_site_fract_x
_atom_site_fract_y
_atom_site_fract_z
_atom_site_occupancy
Hf1 0.000 0.000 0.000 1
Tl1 0.500 0.500 0.000 1
Ag1 0.500 0.500 0.500 1
O1 0.000 0.500 0.500 1
O2 0.500 0.000 0.500 1
# Formation energy from raw total energies ... 0.4726 eV per atom
# Final energy ... -4.545 eV/atom